Entry 1:
Compound: Li3AlC
Source: the Alexandria database
Functional: PBEsol
Structure: optimized geometry

## Properties
N(E_F) ... 1.909 states/eV/f.u.
Calculated volume ... 66.0 Å³/f.u.
Raw total energy ... -0.251 Ry/atom

Cell and atoms, written as POSCAR:
```
Li3AlC
1.0
4.0422 0.0000 0.0000
0.0000 4.0422 0.0000
0.0000 0.0000 4.0422
Li C Al
3 1 1
Direct
0.5000 0.0000 0.0000
0.0000 0.5000 0.0000
0.0000 0.0000 0.5000
0.0000 0.0000 0.0000
0.5000 0.5000 0.5000
```

Entry 2:
Compound: LiAlC2N4
Source: the Alexandria database
Functional: PBEsol
Structure: optimized geometry

## Properties
N(E_F) ... 0.000 states/eV/f.u.
Calculated volume ... 78.7 Å³/f.u.
Formation energy without anion corrections ... -0.619 eV/atom

Cell and atoms, written as POSCAR:
```
LiAlC2N4
1.0
-1.8097 0.9114 -4.9650
-0.3327 -6.2864 -1.0327
-8.6438 -0.0584 3.1399
C N Li Al
8 16 4 4
Direct
0.5879 0.1303 0.2465
0.0879 0.8697 0.2465
0.9121 0.1303 0.7535
0.5879 0.6303 0.2535
0.4121 0.8697 0.7535
0.4121 0.3697 0.7465
0.9121 0.6303 0.7465
0.0879 0.3697 0.2535
0.0663 0.3984 0.3865
0.4337 0.3984 0.6135
0.8926 0.6547 0.8769
0.9337 0.6016 0.6135
0.4337 0.8984 0.8865
0.5663 0.1016 0.1135
0.5663 0.6016 0.3865
0.3926 0.3453 0.8769
0.0663 0.8984 0.1135
0.1074 0.3453 0.1231
0.6074 0.6547 0.1231
0.1074 0.8453 0.3769
0.3926 0.8453 0.6231
0.6074 0.1547 0.3769
0.9337 0.1016 0.8865
0.8926 0.1547 0.6231
0.2500 0.1182 0.5000
0.7500 0.8818 0.5000
0.2500 0.6182 0.0000
0.7500 0.3818 0.0000
0.7500 0.3784 0.5000
0.2500 0.6216 0.5000
0.2500 0.1216 0.0000
0.7500 0.8784 0.0000
```

The lowest N(E_F) belongs to which entry? LiAlC2N4

What is the formula in the first record? Li3AlC

Which of these has the highest N(E_F)? Li3AlC

The lowest N(E_F) belongs to which entry? LiAlC2N4